K2Rb4O | PBE | relaxed

The uncorrected formation energy comes out at -378 meV/atom. For the total magnetization, the calculation gives 0.00 μB per cell. The density of states at the Fermi level comes out at 0.605 states/eV per atom. For the energy relative to the lowest polymorph listed for this composition, the calculation gives 10 kJ/mol of formula units.

The structure belongs to space group P2_1/m (No. 11); the cell edges are 9.3212, 8.6804 and 12.3429 Å and the angles 90.00°, 91.97° and 90.00°. The asymmetric unit holds K at (0.2235, 0.2500, 0.3974), K at (0.2736, 0.7500, 0.6691), Rb at (0.0178, 0.7500, 0.2838), Rb at (0.2520, 0.5149, 0.0494), Rb at (0.4641, 0.7500, 0.3014) and O at (0.2435, 0.7500, 0.1710).


K4Rb2O | PBE | relaxed

The uncorrected formation energy comes out at -434 meV/atom. For the total magnetization, the calculation gives 0.00 μB per cell. The density of states at the Fermi level comes out at 0.538 states/eV per atom. For the energy relative to the lowest polymorph listed for this composition, the calculation gives 0 kJ/mol of formula units.

The structure belongs to space group I4/mmm (No. 139); the cell edges are 5.4808, 5.4808 and 27.6411 Å and the angles 90.00°, 90.00° and 90.00°. The asymmetric unit holds K at (0.0000, 0.0000, 0.0936), K at (0.0000, 0.5000, 0.0000), Rb at (0.0000, 0.0000, 0.3066) and O at (0.0000, 0.0000, 0.0000).


K4RbO2 | PBE | relaxed

The uncorrected formation energy comes out at -785 meV/atom. For the total magnetization, the calculation gives 0.00 μB per cell. The density of states at the Fermi level comes out at 0.288 states/eV per atom. For the energy relative to the lowest polymorph listed for this composition, the calculation gives 8 kJ/mol of formula units.

The structure belongs to space group P4_2/mnm (No. 136); the cell edges are 12.6746, 12.6746 and 3.8989 Å and the angles 90.00°, 90.00° and 90.00°. The asymmetric unit holds K at (0.0933, 0.2717, 0.0000), Rb at (0.0000, 0.0000, 0.5000) and O at (0.1518, 0.1518, 0.5000).


K2RbO | PBE | relaxed

The uncorrected formation energy comes out at -737 meV/atom. For the total magnetization, the calculation gives 0.00 μB per cell. The density of states at the Fermi level comes out at 0.392 states/eV per atom.

The structure belongs to space group Cc (No. 9); the cell edges are 8.9326, 12.0513 and 7.4490 Å and the angles 90.00°, 123.74° and 90.00°. The asymmetric unit holds K at (0.0000, 0.0596, 0.0000), K at (0.4229, 0.2509, 0.0637), Rb at (0.3716, 0.0740, 0.6197) and O at (0.1763, 0.0917, 0.8109).


Number 4 is which compound?
K2RbO